[1]
## InPBr (SCAN)

Data for a crystal of InPBr relaxed with PBEsol.

abc: 4.691 4.691 4.691
angles: 60.00 60.00 60.00
Element x y z (fractional)
Br  0.000  0.000  0.000
In  0.500  0.500  0.500
P  0.250  0.250  0.250

Output
Total magnetic moment = 0.00 μB per formula unit
E_tot = -20.7102 eV per atom
Space-group type = No. 216
N(E_F) = 1.4 states/eV/f.u.
Energy above the lowest structure with this stoichiometry = 0.00 eV/f.u.
ΔE_f (raw) = 0.371 eV per atom

=====

[2]
## In2PBr (SCAN)

Data for a crystal of In2PBr relaxed with PBEsol.

abc: 3.680 3.680 8.209
angles: 90.00 90.00 90.00
Element x y z (fractional)
Br  0.500  0.500  0.758
In  0.000  0.000  0.974
In  0.500  0.500  0.418
P  0.000  0.000  0.350

Output
Total magnetic moment = 0.00 μB per formula unit
E_tot = -24.2613 eV per atom
Space-group type = No. 99
N(E_F) = 1.7 states/eV/f.u.
Energy above the lowest structure with this stoichiometry = 0.61 eV/f.u.
ΔE_f (raw) = -0.104 eV per atom

=====

[3]
## InPBr4 (SCAN)

Data for a crystal of InPBr4 relaxed with PBEsol.

abc: 6.189 6.189 6.189
angles: 60.00 60.00 60.00
Element x y z (fractional)
Br  0.375  0.375  0.375
Br  0.375  0.375  0.876
Br  0.876  0.375  0.375
Br  0.375  0.876  0.375
In  0.750  0.750  0.750
P  0.000  0.000  0.000

Output
Total magnetic moment = 1.90 μB per formula unit
E_tot = -19.5789 eV per atom
Space-group type = No. 216
N(E_F) = 4.2 states/eV/f.u.
ΔE_f (raw) = 0.692 eV per atom